Entry 1:
Li4InAsPt2 | PBE | optimized geometry

Computed properties:
E_tot: -4.008 eV/atom
total moment: 0.009 μB per formula unit

a = 4.349 Å, b = 4.349 Å, c = 6.280 Å
α = 90.00°, β = 90.00°, γ = 90.00°
Space group P-4m2 (No. 115)
One atom of each set of equivalent atoms:
Li  0.000  0.000  0.000 [1 per cell]
Li  0.000  0.500  0.729 [2 per cell]
Li  0.500  0.500  0.500 [1 per cell]
In  0.500  0.500  0.000 [1 per cell]
As  0.000  0.000  0.500 [1 per cell]
Pt  0.000  0.500  0.274 [2 per cell]

---

Entry 2:
MgInAsOs | PBE | optimized geometry

Computed properties:
polymorph energy (0 for the lowest one): 0 meV per atom
total moment: 0.001 μB per formula unit

a = 6.536 Å, b = 6.536 Å, c = 6.536 Å
α = 90.00°, β = 90.00°, γ = 90.00°
Space group F-43m (No. 216)
One atom of each set of equivalent atoms:
Mg  0.000  0.000  0.000 [4 per cell]
In  0.250  0.250  0.750 [4 per cell]
As  0.250  0.250  0.250 [4 per cell]
Os  0.000  0.000  0.500 [4 per cell]

---

Entry 3:
InMoAs2 | PBE | optimized geometry

Computed properties:
E_tot: -5.053 eV/atom
total moment: 1.064 μB per formula unit

a = 6.688 Å, b = 6.688 Å, c = 6.688 Å
α = 90.00°, β = 90.00°, γ = 90.00°
Space group F-43m (No. 216)
One atom of each set of equivalent atoms:
In  0.000  0.000  0.000 [4 per cell]
Mo  0.250  0.250  0.250 [4 per cell]
As  0.000  0.000  0.500 [4 per cell]
As  0.250  0.250  0.750 [4 per cell]

---

Entry 4:
InMoAs | PBE | optimized geometry

Computed properties:
polymorph energy (0 for the lowest one): 0 meV per atom
total moment: 0.004 μB per formula unit

a = 6.264 Å, b = 6.264 Å, c = 6.264 Å
α = 90.00°, β = 90.00°, γ = 90.00°
Space group F-43m (No. 216)
One atom of each set of equivalent atoms:
In  0.000  0.000  0.000 [4 per cell]
Mo  0.000  0.000  0.500 [4 per cell]
As  0.250  0.250  0.250 [4 per cell]

---

Entry 5:
Zr4InAsN2 | PBE | optimized geometry

Computed properties:
E_tot: -8.480 eV/atom
total moment: 0.002 μB per formula unit

a = 3.3770 Å, b = 3.3770 Å, c = 13.6263 Å
α = 90.00°, β = 90.00°, γ = 120.00°
Space group P-6m2 (No. 187)
One atom of each set of equivalent atoms:
Zr  0.0000  0.0000  0.1404 [2 per cell]
Zr  0.3333  0.6667  0.3209 [2 per cell]
In  0.0000  0.0000  0.5000 [1 per cell]
As  0.3333  0.6667  0.0000 [1 per cell]
N  0.6667  0.3333  0.2339 [2 per cell]

---

Entry 6:
NbInAsO | PBE | optimized geometry

Computed properties:
polymorph energy (0 for the lowest one): 270 meV per atom
total moment: 0.137 μB per formula unit

a = 4.029 Å, b = 4.029 Å, c = 8.400 Å
α = 90.00°, β = 90.00°, γ = 90.00°
Space group P4/nmm (No. 129, origin choice 2)
One atom of each set of equivalent atoms:
Nb  0.250  0.750  0.000 [2 per cell]
In  0.250  0.250  0.380 [2 per cell]
As  0.250  0.250  0.794 [2 per cell]
O  0.250  0.750  0.500 [2 per cell]

---

Entry 7:
NbInAsO | PBE | optimized geometry

Computed properties:
polymorph energy (0 for the lowest one): 296 meV per atom
total moment: 0.539 μB per formula unit

a = 3.733 Å, b = 3.733 Å, c = 10.170 Å
α = 90.00°, β = 90.00°, γ = 90.00°
Space group P4/nmm (No. 129, origin choice 2)
One atom of each set of equivalent atoms:
Nb  0.250  0.250  0.112 [2 per cell]
In  0.250  0.750  0.500 [2 per cell]
As  0.250  0.250  0.759 [2 per cell]
O  0.250  0.750  0.000 [2 per cell]

---

Entry 8:
NbInAsO | PBE | optimized geometry

Computed properties:
polymorph energy (0 for the lowest one): 289 meV per atom
total moment: 0.571 μB per formula unit

a = 3.718 Å, b = 3.718 Å, c = 10.418 Å
α = 90.00°, β = 90.00°, γ = 90.00°
Space group P4/nmm (No. 129, origin choice 2)
One atom of each set of equivalent atoms:
Nb  0.250  0.250  0.111 [2 per cell]
In  0.250  0.750  0.500 [2 per cell]
As  0.250  0.250  0.761 [2 per cell]
O  0.250  0.750  0.000 [2 per cell]

---

Entry 9:
NbInAsO | PBE | optimized geometry

Computed properties:
polymorph energy (0 for the lowest one): 0 meV per atom
total moment: 0.003 μB per formula unit

a = 3.835 Å, b = 8.374 Å, c = 5.212 Å
α = 90.00°, β = 90.00°, γ = 90.00°
Space group Pmc2_1 (No. 26)
One atom of each set of equivalent atoms:
Nb  0.000  0.120  0.000 [2 per cell]
In  0.500  0.420  0.589 [2 per cell]
As  0.000  0.187  0.497 [2 per cell]
O  0.500  0.168  0.005 [2 per cell]

---

Entry 10:
NbInAsO | PBE | optimized geometry

Computed properties:
polymorph energy (0 for the lowest one): 30 meV per atom
total moment: 0.013 μB per formula unit

a = 2.969 Å, b = 8.952 Å, c = 6.019 Å
α = 90.00°, β = 90.00°, γ = 90.00°
Space group Pmc2_1 (No. 26)
One atom of each set of equivalent atoms:
Nb  0.000  0.133  0.000 [2 per cell]
In  0.500  0.347  0.327 [2 per cell]
As  0.500  0.344  0.786 [2 per cell]
O  0.000  0.017  0.280 [2 per cell]

---

Entry 11:
NdInAsO | PBE | optimized geometry

Computed properties:
polymorph energy (0 for the lowest one): 190 meV per atom
total moment: 0.007 μB per formula unit

a = 4.277 Å, b = 7.536 Å, c = 6.160 Å
α = 90.00°, β = 90.00°, γ = 90.00°
Space group Pmc2_1 (No. 26)
One atom of each set of equivalent atoms:
Nd  0.000  0.200  0.000 [2 per cell]
In  0.500  0.389  0.589 [2 per cell]
As  0.000  0.192  0.489 [2 per cell]
O  0.500  0.321  0.970 [2 per cell]

---

Entry 12:
NdInAsO | PBE | optimized geometry

Computed properties:
polymorph energy (0 for the lowest one): 894 meV per atom
total moment: 0.004 μB per formula unit

a = 4.560 Å, b = 4.560 Å, c = 8.368 Å
α = 90.00°, β = 90.00°, γ = 90.00°
Space group P4/nmm (No. 129, origin choice 2)
One atom of each set of equivalent atoms:
Nd  0.250  0.750  0.000 [2 per cell]
In  0.250  0.250  0.420 [2 per cell]
As  0.250  0.250  0.786 [2 per cell]
O  0.250  0.750  0.500 [2 per cell]

---

- Which formula does entry 10 have?
  NbInAsO